# La2FeOs

A relaxed La2FeOs crystal (PBE-GGA, the Alexandria database).

```
La2FeOs
1.0
-0.997 0.947 2.945
2.425 -1.682 1.362
5.258 7.160 -0.522
Os La Fe
1 2 1
direct
0.000 0.000 0.566
0.000 0.000 0.925
0.500 0.500 0.325
0.500 0.500 0.683
```

Calculated values
E in eV per cell: -28.57
Fermi-level density of states in states/eV per atom: 1.342

# LaFeOs

A relaxed LaFeOs crystal (PBE-GGA, the Alexandria database).

```
LaFeOs
1.0
-2.433 -1.456 -0.639
1.772 0.876 -2.131
3.721 -6.417 0.458
La Fe Os
1 1 1
direct
0.667 0.333 0.331
0.000 0.000 0.961
0.333 0.667 0.709
```

Calculated values
E in eV per cell: -22.47
Fermi-level density of states in states/eV per atom: 1.483

# La2FeOs

A relaxed La2FeOs crystal (PBE-GGA, the Alexandria database).

```
La2FeOs
1.0
-4.516 -4.874 3.520
-1.724 -3.168 -6.597
-0.766 -5.969 -1.218
La Fe Os
4 2 2
direct
0.875 0.859 0.750
0.141 0.625 0.250
0.609 0.125 0.250
0.375 0.391 0.750
0.500 0.500 0.000
0.250 0.750 0.500
0.000 0.000 0.000
0.750 0.250 0.500
```

Calculated values
E in eV per cell: -54.28
Fermi-level density of states in states/eV per atom: 2.056

# LaFeOs

A relaxed LaFeOs crystal (PBE-GGA, the Alexandria database).

```
LaFeOs
1.0
-1.711 4.803 3.337
-3.523 2.378 4.367
1.747 -0.170 2.672
Fe La Os
1 1 1
direct
0.040 0.040 0.960
0.331 0.331 0.669
0.629 0.629 0.371
```

Calculated values
E in eV per cell: -23.71
Fermi-level density of states in states/eV per atom: 1.141

# LaFeOs

A relaxed LaFeOs crystal (PBE-GGA, the Alexandria database).

```
LaFeOs
1.0
4.022 0.000 0.000
-2.011 3.483 0.000
0.000 0.000 4.548
La Fe Os
1 1 1
direct
0.333 0.667 0.333
0.000 0.000 0.833
0.667 0.333 0.833
```

Calculated values
E in eV per cell: -24.43
Fermi-level density of states in states/eV per atom: 0.754

# La2FeOs

A relaxed La2FeOs crystal (PBE-GGA, the Alexandria database).

```
La2FeOs
1.0
4.907 0.000 0.000
2.454 4.250 0.000
2.454 1.417 4.007
Fe Os La
1 1 2
direct
0.500 0.500 0.500
0.750 0.750 0.750
0.000 0.000 0.000
0.250 0.250 0.250
```

Calculated values
E in eV per cell: -28.07
Fermi-level density of states in states/eV per atom: 1.580

# La2FeOs

A relaxed La2FeOs crystal (PBE-GGA, the Alexandria database).

```
La2FeOs
1.0
4.225 0.000 0.000
0.000 4.528 0.006
0.000 2.271 5.238
La Os Fe
2 1 1
direct
0.000 0.979 0.917
0.500 0.270 0.334
0.000 0.670 0.536
0.500 0.581 0.712
```

Calculated values
E in eV per cell: -29.42
Fermi-level density of states in states/eV per atom: 0.992

# La2FeOs

A relaxed La2FeOs crystal (PBE-GGA, the Alexandria database).

```
La2FeOs
1.0
-0.972 1.435 3.806
-3.264 -0.707 2.517
3.103 -5.836 4.181
La Fe Os
2 1 1
direct
0.000 0.000 0.977
0.500 0.500 0.523
0.250 0.250 0.250
0.750 0.750 0.750
```

Calculated values
E in eV per cell: -27.64
Fermi-level density of states in states/eV per atom: 1.241

# La2FeOs

A relaxed La2FeOs crystal (PBE-GGA, the Alexandria database).

```
La2FeOs
1.0
1.630 -1.114 4.658
-1.826 2.520 3.989
-3.081 -2.328 3.269
Fe La Os
1 2 1
direct
0.000 0.000 0.000
0.250 0.250 0.250
0.750 0.750 0.750
0.500 0.500 0.500
```

Calculated values
E in eV per cell: -28.56
Fermi-level density of states in states/eV per atom: 1.767

# LaFeSi2Os

A relaxed LaFeSi2Os crystal (PBE-GGA, the Alexandria database).

```
LaFeSi2Os
1.0
-4.101 -0.510 0.271
0.096 -2.517 -3.288
2.694 -2.428 4.545
La Si Fe Os
1 2 1 1
direct
0.000 0.000 0.000
0.638 0.638 0.275
0.362 0.362 0.725
0.750 0.250 0.500
0.250 0.750 0.500
```

Calculated values
E_form (uncorrected) in meV/atom: -648
E in eV per cell: -38.71
Fermi-level density of states in states/eV per atom: 0.717

# La2FeTeOs

A relaxed La2FeTeOs crystal (PBE-GGA, the Alexandria database).

```
La2FeTeOs
1.0
-3.718 -2.388 -3.528
-2.656 -1.056 3.513
-2.675 4.953 -0.533
La Fe Os Te
2 1 1 1
direct
0.000 0.000 0.500
0.500 0.000 0.000
0.000 0.500 0.000
0.000 0.000 0.000
0.500 0.500 0.500
```

Calculated values
E_form (uncorrected) in meV/atom: -220
E in eV per cell: -33.79
Fermi-level density of states in states/eV per atom: 0.789

# La2FeOsW

A relaxed La2FeOsW crystal (PBE-GGA, the Alexandria database).

```
La2FeOsW
1.0
-0.088 -4.055 3.083
4.042 1.095 1.556
-2.168 2.820 3.647
W La Fe Os
1 2 1 1
direct
0.000 0.500 0.000
0.000 0.000 0.500
0.500 0.000 0.000
0.000 0.000 0.000
0.500 0.500 0.500
```

Calculated values
E in eV per cell: -37.43
Fermi-level density of states in states/eV per atom: 1.372

# LaFe2P

A relaxed LaFe2P crystal (PBE-GGA, the Alexandria database).

```
LaFe2P
1.0
-0.237 4.252 1.884
-3.668 2.733 -0.874
-3.096 0.887 3.363
P La Fe
1 1 2
direct
0.250 0.250 0.250
0.500 0.500 0.500
0.000 0.000 0.000
0.750 0.750 0.750
```

Calculated values
E in eV per cell: -26.68
Fermi-level density of states in states/eV per atom: 0.944

# LaFe2P

A relaxed LaFe2P crystal (PBE-GGA, the Alexandria database).

```
LaFe2P
1.0
-2.269 -1.995 -2.504
1.039 -3.607 -1.140
-3.052 -3.896 2.795
Fe P La
2 1 1
direct
0.004 0.004 0.989
0.695 0.695 0.915
0.300 0.300 0.101
0.501 0.501 0.496
```

Calculated values
E in eV per cell: -29.57
Fermi-level density of states in states/eV per atom: 0.855

# LaFeP

A relaxed LaFeP crystal (PBE-GGA, the Alexandria database).

```
LaFeP
1.0
4.784 0.000 0.000
2.392 4.143 0.000
2.392 1.381 3.906
Fe P La
1 1 1
direct
0.500 0.500 0.500
0.000 0.000 0.000
0.750 0.750 0.750
```

Calculated values
E in eV per cell: -17.62
Fermi-level density of states in states/eV per atom: 2.732

# La2FeP

A relaxed La2FeP crystal (PBE-GGA, the Alexandria database).

```
La2FeP
1.0
-2.509 -0.997 -1.767
-0.879 -1.999 2.375
-4.924 6.267 3.454
P Fe La
1 1 2
direct
0.000 0.000 0.575
0.500 0.500 0.672
0.500 0.500 0.330
0.000 0.000 0.923
```

Calculated values
E in eV per cell: -24.52
Fermi-level density of states in states/eV per atom: 1.210

# La2FeP2

A relaxed La2FeP2 crystal (PBE-GGA, the Alexandria database).

```
La2FeP2
1.0
-0.661 -0.469 -6.286
-3.697 -5.091 0.768
-3.861 2.833 0.195
Fe La P
2 4 4
direct
0.000 0.000 0.000
0.500 0.500 0.000
0.322 0.178 0.500
0.822 0.322 0.500
0.178 0.678 0.500
0.678 0.822 0.500
0.363 0.863 0.000
0.863 0.637 0.000
0.137 0.363 0.000
0.637 0.137 0.000
```

Calculated values
E in eV per cell: -65.70
Fermi-level density of states in states/eV per atom: 0.361

# LaFe2P

A relaxed LaFe2P crystal (PBE-GGA, the Alexandria database).

```
LaFe2P
1.0
3.132 0.000 0.000
0.000 3.132 0.000
0.000 0.000 6.740
La Fe P
1 2 1
direct
0.000 0.000 0.500
0.000 0.000 0.987
0.500 0.500 0.178
0.500 0.500 0.836
```

Calculated values
E in eV per cell: -27.87
Fermi-level density of states in states/eV per atom: 0.633

# LaFe5P3

A relaxed LaFe5P3 crystal (PBE-GGA, the Alexandria database).

```
LaFe5P3
1.0
3.750 0.000 0.000
-1.875 5.964 0.000
0.000 0.000 10.947
Fe P La
10 6 2
direct
0.460 0.919 0.360
0.189 0.379 0.938
0.540 0.081 0.640
0.189 0.379 0.562
0.460 0.919 0.140
0.540 0.081 0.860
0.811 0.621 0.438
0.811 0.621 0.062
0.000 0.000 0.500
0.000 0.000 0.000
0.630 0.261 0.460
0.895 0.791 0.250
0.370 0.739 0.960
0.370 0.739 0.540
0.630 0.261 0.040
0.105 0.209 0.750
0.824 0.647 0.750
0.176 0.353 0.250
```

Calculated values
E in eV per cell: -139.25
Fermi-level density of states in states/eV per atom: 0.659

# LaFe4P

A relaxed LaFe4P crystal (PBE-GGA, the Alexandria database).

```
LaFe4P
1.0
-0.331 -0.503 5.049
-0.899 4.074 2.907
-4.495 0.527 2.318
P Fe La
1 4 1
direct
0.000 0.000 0.000
0.376 0.873 0.376
0.873 0.376 0.376
0.376 0.376 0.376
0.376 0.376 0.873
0.750 0.750 0.750
```

Calculated values
E in eV per cell: -43.20
Fermi-level density of states in states/eV per atom: 0.776

# La2FeP

A relaxed La2FeP crystal (PBE-GGA, the Alexandria database).

```
La2FeP
1.0
6.689 0.047 -0.112
5.591 3.671 -0.112
1.363 0.413 3.920
P La Fe
1 2 1
direct
0.576 0.576 0.424
0.989 0.989 0.011
0.748 0.748 0.752
0.186 0.186 0.313
```

Calculated values
E in eV per cell: -25.95
Fermi-level density of states in states/eV per atom: 0.568

# La2FeP

A relaxed La2FeP crystal (PBE-GGA, the Alexandria database).

```
La2FeP
1.0
-0.754 4.042 0.162
-3.587 1.367 1.483
1.466 2.067 7.331
Fe P La
1 1 2
direct
0.250 0.250 0.250
0.750 0.750 0.750
0.496 0.496 0.511
0.004 0.004 0.989
```

Calculated values
E in eV per cell: -25.29
Fermi-level density of states in states/eV per atom: 1.603

# LaFe2P

A relaxed LaFe2P crystal (PBE-GGA, the Alexandria database).

```
LaFe2P
1.0
3.762 0.000 0.000
0.000 4.337 -0.035
0.000 0.363 4.568
Fe La P
2 1 1
direct
0.000 0.491 0.673
0.000 0.009 0.827
0.500 0.250 0.250
0.500 0.750 0.750
```

Calculated values
E in eV per cell: -28.11
Fermi-level density of states in states/eV per atom: 1.098

# LaFe2P

A relaxed LaFe2P crystal (PBE-GGA, the Alexandria database).

```
LaFe2P
1.0
-2.297 -3.159 1.207
1.818 -0.528 -4.744
3.236 -2.519 -0.233
Fe La P
2 1 1
direct
0.500 0.000 0.500
0.000 0.000 0.000
0.000 0.500 0.500
0.500 0.500 0.000
```

Calculated values
E in eV per cell: -26.73
Fermi-level density of states in states/eV per atom: 0.829

# LaFeP

A relaxed LaFeP crystal (PBE-GGA, the Alexandria database).

```
LaFeP
1.0
-1.801 0.259 -3.371
3.354 -0.338 -1.819
-0.919 -8.328 -0.149
Fe P La
2 2 2
direct
0.750 0.250 0.000
0.250 0.750 0.000
0.750 0.750 0.863
0.250 0.250 0.137
0.750 0.750 0.291
0.250 0.250 0.709
```

Calculated values
E in eV per cell: -43.44
Fermi-level density of states in states/eV per atom: 0.491

# La2FeP

A relaxed La2FeP crystal (PBE-GGA, the Alexandria database).

```
La2FeP
1.0
4.983 0.000 0.000
0.000 4.983 0.000
0.000 0.000 3.762
Fe P La
1 1 2
direct
0.000 0.500 0.500
0.500 0.000 0.500
0.000 0.000 0.000
0.500 0.500 0.000
```

Calculated values
E in eV per cell: -25.42
Fermi-level density of states in states/eV per atom: 1.222

# LaFe2P

A relaxed LaFe2P crystal (PBE-GGA, the Alexandria database).

```
LaFe2P
1.0
4.156 0.000 0.000
0.000 4.156 0.000
0.000 0.000 4.048
Fe P La
2 1 1
direct
0.000 0.000 0.000
0.500 0.500 0.000
0.000 0.500 0.500
0.500 0.000 0.500
```

Calculated values
E in eV per cell: -26.62
Fermi-level density of states in states/eV per atom: 1.346

# LaFe2P

A relaxed LaFe2P crystal (PBE-GGA, the Alexandria database).

```
LaFe2P
1.0
4.830 -0.007 -0.003
-0.034 4.830 0.003
-1.588 -3.217 3.234
La Fe P
1 2 1
direct
0.487 0.487 0.000
0.826 0.326 0.500
0.016 0.016 0.000
0.170 0.670 0.500
```

Calculated values
E in eV per cell: -27.75
Fermi-level density of states in states/eV per atom: 0.685

# LaFeP

A relaxed LaFeP crystal (PBE-GGA, the Alexandria database).

```
LaFeP
1.0
-2.950 2.510 2.055
-4.265 -0.987 -0.239
-2.098 -1.529 3.533
P La Fe
1 1 1
direct
0.500 0.500 0.500
0.000 0.000 0.000
0.750 0.750 0.750
```

Calculated values
E in eV per cell: -19.95
Fermi-level density of states in states/eV per atom: 1.139